A geometry-optimized LaPmPr4Er2 structure. Source: Alexandria, functional PBE.

```
8
Lattice="6.3148 0.0000 0.0000 0.0000 3.6770 0.0000 -2.1312 0.0000 11.9238" Properties=species:S:1:pos:R:3 pbc="T T T"
La 0.0000 0.0000 0.0000
Pm -1.0656 1.8385 5.9619
Pr -0.0145 0.0000 8.9545
Pr 1.0559 1.8385 3.0275
Pr 3.1277 1.8385 8.8963
Pr 4.1981 0.0000 2.9693
Er 2.0918 0.0000 5.9619
Er 3.1574 1.8385 0.0000
```

Formation enthalpy at 0 K in eV per atom: 0.02
Electronic total energy in eV/atom: -4.723
Calculated volume in Å³/cell: 277

=====

A geometry-optimized La2Pm2PrEr2 structure. Source: Alexandria, functional PBE.

```
14
Lattice="11.5241 0.0000 0.0000 0.0000 5.1422 0.0000 -1.1289 0.0000 8.1131" Properties=species:S:1:pos:R:3 pbc="T T T"
La 1.1575 0.0000 3.4683
La 3.4757 2.5711 4.6448
La 6.9195 2.5711 3.4683
La 9.2378 0.0000 4.6448
Pm 2.3218 2.5711 1.1456
Pm 2.3113 0.0000 6.9674
Pm 8.0839 0.0000 1.1456
Pm 8.0734 2.5711 6.9674
Pr 0.0000 0.0000 0.0000
Pr 5.7621 2.5711 0.0000
Er 0.0121 2.5711 5.7992
Er 4.6210 0.0000 2.3139
Er 5.7742 0.0000 5.7992
Er 10.3831 2.5711 2.3139
```

Formation enthalpy at 0 K in eV per atom: 0.02
Electronic total energy in eV/atom: -4.728
Calculated volume in Å³/cell: 481

=====

A geometry-optimized La2PmPrEr5 structure. Source: Alexandria, functional PBE.

```
18
Lattice="-4.3407 4.3407 7.8918 4.3407 -4.3407 7.8918 4.3407 4.3407 -7.8918" Properties=species:S:1:pos:R:3 pbc="T T T"
La 5.3615 1.0208 0.0000
La 1.0208 3.3198 0.0000
La 3.3198 1.0208 7.8918
La -1.0208 3.3198 7.8918
Pm 0.0000 0.0000 3.9459
Pm 0.0000 0.0000 11.8377
Pr 4.3407 0.0000 3.9459
Pr 0.0000 4.3407 3.9459
Er 0.0000 0.0000 0.0000
Er 2.4893 1.8514 -2.2092
Er 2.4893 -1.8514 5.6826
Er 2.4893 1.8514 2.2092
Er 2.4893 -1.8514 10.1010
Er 0.0000 0.0000 7.8918
Er 1.8514 6.1920 -2.2092
Er 1.8514 2.4893 5.6826
Er 1.8514 6.1920 2.2092
Er 1.8514 2.4893 10.1010
```

Formation enthalpy at 0 K in eV per atom: 0.24
Electronic total energy in eV/atom: -4.446
Calculated volume in Å³/cell: 595

=====

A geometry-optimized La2PmPr4Er structure. Source: Alexandria, functional PBE.

```
8
Lattice="5.1979 0.0000 0.0000 0.0000 5.2195 0.0000 -0.0153 0.0000 10.4765" Properties=species:S:1:pos:R:3 pbc="T T T"
La 0.0000 0.0000 0.0000
La 2.5913 2.6097 5.2382
Pm -0.0076 0.0000 5.2382
Pr 5.1923 2.6097 2.5960
Pr -0.0097 2.6097 7.8805
Pr 2.5965 0.0000 2.6041
Pr 2.5861 0.0000 7.8724
Er 2.5990 2.6097 0.0000
```

Formation enthalpy at 0 K in eV per atom: 0.02
Electronic total energy in eV/atom: -4.767
Calculated volume in Å³/cell: 284

=====

A geometry-optimized LaPm6Pr3Er2 structure. Source: Alexandria, functional PBE.

```
12
Lattice="3.1637 -5.4783 0.0000 3.1637 5.4783 0.0000 -2.1139 0.0000 11.9519" Properties=species:S:1:pos:R:3 pbc="T T T"
La 0.0000 0.0000 0.0000
Pm 1.0603 1.8339 2.9510
Pm 0.0035 0.0000 8.9971
Pm 1.0603 -1.8339 2.9510
Pm 3.1532 1.8339 9.0009
Pm 4.2100 0.0000 2.9548
Pm 3.1532 -1.8339 9.0009
Pr 2.1067 3.6463 5.9759
Pr 2.1067 0.0000 5.9759
Pr 2.1067 -3.6463 5.9759
Er 3.1637 1.8243 0.0000
Er 3.1637 -1.8243 0.0000
```

Formation enthalpy at 0 K in eV per atom: 0.02
Electronic total energy in eV/atom: -4.722
Calculated volume in Å³/cell: 414

=====

A geometry-optimized LaPm5PrEr2 structure. Source: Alexandria, functional PBE.

```
18
Lattice="2.8583 -10.1347 0.0000 2.8583 10.1347 0.0000 0.0000 0.0000 10.7620" Properties=species:S:1:pos:R:3 pbc="T T T"
La 2.8583 8.4618 5.3810
La 2.8583 -8.4618 0.0000
Pm 2.8583 9.6776 8.5176
Pm 2.8583 7.9141 0.8541
Pm 2.8583 6.0004 8.1577
Pm 2.8583 5.7041 3.9110
Pm 2.8583 0.3427 0.8518
Pm 2.8583 -0.3427 6.2329
Pm 2.8583 -5.7041 9.2921
Pm 2.8583 -6.0004 2.7767
Pm 2.8583 -7.9141 6.2352
Pm 2.8583 -9.6776 3.1366
Pr 2.8583 4.0996 0.6822
Pr 2.8583 -4.0996 6.0632
Er 2.8583 2.3493 4.0445
Er 2.8583 2.2593 8.4599
Er 2.8583 -2.2593 3.0789
Er 2.8583 -2.3493 9.4255
```

Formation enthalpy at 0 K in eV per atom: 0.15
Electronic total energy in eV/atom: -4.583
Calculated volume in Å³/cell: 624

=====

A geometry-optimized La4Pm2PrEr2 structure. Source: Alexandria, functional PBE.

```
9
Lattice="7.7793 -2.6062 0.0000 7.7793 2.6062 0.0000 -2.5571 0.0000 7.7473" Properties=species:S:1:pos:R:3 pbc="T T T"
La 0.0069 0.0000 2.5562
La 2.5856 0.0000 5.1883
La 10.4159 0.0000 2.5590
La 12.9945 0.0000 5.1911
Pm 5.1877 0.0000 2.5565
Pm 7.8138 0.0000 5.1908
Pr 7.7793 0.0000 0.0000
Er 0.0682 0.0000 7.7413
Er 12.9333 0.0000 0.0060
```

Formation enthalpy at 0 K in eV per atom: 0.02
Electronic total energy in eV/atom: -4.767
Calculated volume in Å³/cell: 314

=====

A geometry-optimized LaPmPr3Er structure. Source: Alexandria, functional PBE.

```
12
Lattice="8.1909 0.0000 0.0000 0.0000 5.2252 0.0000 -3.3028 0.0000 9.8685" Properties=species:S:1:pos:R:3 pbc="T T T"
La 0.4298 1.3063 2.8686
La 4.4583 3.9189 6.9999
Pm 2.0222 1.3063 6.1870
Pm 2.8658 3.9189 3.6815
Pr -0.4049 3.9189 5.3673
Pr -1.2178 1.3063 7.8353
Pr 1.2750 3.9189 0.4085
Pr 3.6131 1.3063 9.4600
Pr 6.1059 3.9189 2.0332
Pr 5.2929 1.3063 4.5012
Er 1.1831 3.9189 8.6547
Er 3.7049 1.3063 1.2138
```

Formation enthalpy at 0 K in eV per atom: 0.02
Electronic total energy in eV/atom: -4.743
Calculated volume in Å³/cell: 422

=====

A geometry-optimized La3PmPr6Er2 structure. Source: Alexandria, functional PBE.

```
12
Lattice="3.1924 -5.5345 0.0000 3.1924 5.5345 0.0000 -2.1382 0.0000 12.0003" Properties=species:S:1:pos:R:3 pbc="T T T"
La 0.0000 0.0000 0.0000
La 3.1924 1.8467 0.0000
La 3.1924 -1.8467 0.0000
Pm 2.1233 0.0000 6.0002
Pr 1.0569 1.8513 3.0684
Pr -0.0124 0.0000 8.9318
Pr 1.0569 -1.8513 3.0684
Pr 3.1898 1.8513 8.9319
Pr 4.2591 0.0000 3.0685
Pr 3.1898 -1.8513 8.9319
Er 2.1233 3.6905 6.0002
Er 2.1233 -3.6905 6.0002
```

Formation enthalpy at 0 K in eV per atom: 0.02
Electronic total energy in eV/atom: -4.760
Calculated volume in Å³/cell: 424

=====

A geometry-optimized LaPm2PrEr4 structure. Source: Alexandria, functional PBE.

```
16
Lattice="6.2434 -3.6075 0.0000 6.2434 3.6075 0.0000 -4.1564 0.0000 11.6486" Properties=species:S:1:pos:R:3 pbc="T T T"
La 3.1217 1.8038 0.0000
La 3.1217 -1.8038 0.0000
Pm 0.0000 0.0000 0.0000
Pm -2.0782 0.0000 5.8243
Pm 1.0435 1.8038 5.8243
Pm 1.0435 -1.8038 5.8243
Pr 6.2434 0.0000 0.0000
Pr 4.1652 0.0000 5.8243
Er 0.0032 0.0000 8.7135
Er 3.1245 1.8052 8.7227
Er 2.0760 0.0000 2.9310
Er 5.2059 1.8052 2.9259
Er 3.1245 -1.8052 8.7227
Er 6.2544 0.0000 8.7176
Er 5.2059 -1.8052 2.9259
Er 8.3273 0.0000 2.9351
```

Formation enthalpy at 0 K in eV per atom: 0.02
Electronic total energy in eV/atom: -4.667
Calculated volume in Å³/cell: 525

=====

A geometry-optimized La2Pm2PrEr structure. Source: Alexandria, functional PBE.

```
12
Lattice="5.7962 0.0000 0.0000 0.0000 10.0825 0.0000 0.0000 0.0000 7.1489" Properties=species:S:1:pos:R:3 pbc="T T T"
La 0.0000 0.0094 0.0000
La 0.0000 10.0731 3.5745
La 2.8981 1.7179 1.7923
La 2.8981 8.3646 5.3667
Pm 0.0000 3.3486 1.7876
Pm 0.0000 6.7339 5.3621
Pm 2.8981 1.6669 5.3583
Pm 2.8981 8.4156 1.7838
Pr 2.8981 5.0353 7.1467
Pr 2.8981 5.0471 3.5722
Er 0.0000 3.3960 5.3572
Er 0.0000 6.6865 1.7827
```

Formation enthalpy at 0 K in eV per atom: 0.05
Electronic total energy in eV/atom: -4.729
Calculated volume in Å³/cell: 418

=====

A geometry-optimized La5PmPrEr2 structure. Source: Alexandria, functional PBE.

```
18
Lattice="2.8968 -10.4148 0.0000 2.8968 10.4148 0.0000 0.0000 0.0000 10.7245" Properties=species:S:1:pos:R:3 pbc="T T T"
La 2.8968 10.0837 5.3622
La 2.8968 4.6014 8.5643
La 2.8968 4.2652 2.0144
La 2.8968 2.3696 5.4260
La 2.8968 0.4125 2.4179
La 2.8968 -0.4125 7.7801
La 2.8968 -2.3696 0.0638
La 2.8968 -4.2652 7.3766
La 2.8968 -4.6014 3.2021
La 2.8968 -10.0837 0.0000
Pm 2.8968 6.3024 5.3127
Pm 2.8968 -6.3024 10.6750
Pr 2.8968 1.8492 10.0144
Pr 2.8968 -1.8492 4.6522
Er 2.8968 8.0250 2.3322
Er 2.8968 7.9893 8.5680
Er 2.8968 -7.9893 3.2058
Er 2.8968 -8.0250 7.6945
```

Formation enthalpy at 0 K in eV per atom: 0.14
Electronic total energy in eV/atom: -4.672
Calculated volume in Å³/cell: 647

=====

Question: What is the calculated volume in the twelfth record?
Answer: 647 Å³/cell